Entry 1:
PuPa2Pb | Alexandria | PBE-GGA | optimized geometry; calculated formation energy = 0.012 eV/atom; total energy = -37.0 eV for the cell shown; distance to the lowest polymorph of the same formula = 0 kJ/mol of formula units; V = 25.5 Å³ per atom; theoretical density = 14.9 Mg/m³
1.0
4.722 0.000 0.000
0.000 4.647 0.000
0.000 0.000 4.647
Pb Pa Pu
1 2 1
Cartesian
2.361 2.323 2.323
0.000 0.000 2.323
0.000 2.323 0.000
2.361 0.000 0.000

Entry 2:
Sc6Ga2Ir | Alexandria | PBE-GGA | optimized geometry; calculated formation energy = -0.550 eV/atom; total energy = -115.7 eV for the cell shown; distance to the lowest polymorph of the same formula = 0 kJ/mol of formula units; V = 20.6 Å³ per atom; theoretical density = 5.4 Mg/m³
1.0
7.351 0.282 -2.704
-3.715 6.457 -2.435
-0.102 -0.282 7.831
Sc Ga Ir
12 4 2
Cartesian
1.316 4.703 3.130
2.218 1.753 -0.437
-0.428 1.471 5.595
3.961 4.986 -2.902
3.188 4.836 0.323
0.345 1.621 2.369
-1.468 4.554 4.933
5.002 1.903 -2.240
3.778 2.549 2.347
-0.244 3.908 0.345
-1.549 6.018 2.190
5.082 0.438 0.503
2.235 2.246 4.527
1.298 4.210 -1.835
4.706 0.000 3.329
2.542 0.000 1.799
-1.909 3.087 2.698
0.000 0.000 0.000

Entry 3:
NdSb2Rh3 | Alexandria | PBE-GGA | optimized geometry; total energy = -118.4 eV for the cell shown; distance to the lowest polymorph of the same formula = 0 kJ/mol of formula units; V = 20.0 Å³ per atom; formation energy without anion corrections = -0.73 eV/atom; theoretical density = 9.6 Mg/m³
1.0
-3.271 2.496 0.936
0.238 0.089 -8.914
-5.536 -8.278 2.723
Nd Sb Rh
3 6 9
Cartesian
-4.339 -5.387 -0.801
-4.229 -0.306 -4.453
0.000 0.000 0.000
-1.237 -0.527 -2.915
-7.332 -5.166 -2.339
-2.511 -0.597 -7.183
-6.058 -5.096 1.929
-4.018 -3.539 -4.604
-4.551 -2.154 -0.650
-1.962 -2.635 0.167
-6.606 -3.058 -5.421
-2.764 -2.657 -2.574
-5.804 -3.036 -2.680
-3.062 -0.080 -0.976
-5.507 -5.613 -4.278
-4.404 -2.891 1.830
-1.110 0.533 -5.299
-7.459 -6.226 0.045

Entry 4:
Dy2InCuSe5 | Alexandria | PBE-GGA | optimized geometry; total energy = -87.3 eV for the cell shown; V = 22.9 Å³ per atom; formation energy without anion corrections = -1.13 eV/atom; theoretical density = 7.3 Mg/m³
1.0
3.981 0.000 0.000
-1.991 8.563 0.000
0.000 0.000 12.067
Dy In Cu Se
4 2 2 10
Cartesian
1.991 6.516 9.649
0.000 1.954 8.239
0.000 2.048 3.615
1.991 6.609 2.206
1.991 5.327 5.988
0.000 3.236 12.022
0.000 8.539 11.909
1.991 0.024 5.875
0.000 6.034 12.043
1.991 3.470 10.068
1.991 0.106 9.530
0.000 4.961 8.004
1.991 7.839 6.919
1.991 2.529 6.009
0.000 5.094 4.034
0.000 8.457 3.496
1.991 3.602 1.970
0.000 0.724 0.885